1.
# ErZrP2, optimized geometry, DFT PBE-GGA
# **Total magnetic moment**: 0.00 μB/f.u.
# **V**: 20.10 Å³/atom
# **DFT total energy**: -7.47 eV per atom
# **Formation energy from the elements**: -1.4850 eV per atom
# **Distance to the lowest polymorph of the same formula**: 0.00 eV/f.u.
data_ErZrP2
_space_group_name_H-M_alt 'R -3 m'
_space_group_IT_number 166
_space_group_name_Hall '-R 3 2"'
_cell_length_a 3.8253
_cell_length_b 3.8253
_cell_length_c 19.0297
_cell_angle_alpha 90.00
_cell_angle_beta 90.00
_cell_angle_gamma 120.00
loop_
_atom_site_label
_atom_site_type_symbol
_atom_site_fract_x
_atom_site_fract_y
_atom_site_fract_z
_atom_site_occupancy
Er1 Er 0.0000 0.0000 0.0000 1
Zr1 Zr 0.0000 0.0000 0.5000 1
P1 P 0.0000 0.0000 0.2463 1

2.
# Er5ZrP6, optimized geometry, DFT PBE-GGA
# **Total magnetic moment**: 0.00 μB/f.u.
# **V**: 21.33 Å³/atom
# **DFT total energy**: -6.89 eV per atom
# **Formation energy from the elements**: -1.5758 eV per atom
data_Er5ZrP6
_space_group_name_H-M_alt 'C 1 2/m 1'
_space_group_IT_number 12
_cell_length_a 6.795
_cell_length_b 11.758
_cell_length_c 6.795
_cell_angle_alpha 90.00
_cell_angle_beta 109.47
_cell_angle_gamma 90.00
loop_
_space_group_symop_operation_xyz
'x,y,z'
'-x,-y,-z'
'-x,y,-z'
'x,-y,z'
'x+1/2,y+1/2,z'
'-x+1/2,-y+1/2,-z'
'-x+1/2,y+1/2,-z'
'x+1/2,-y+1/2,z'
loop_
_atom_site_label
_atom_site_type_symbol
_atom_site_fract_x
_atom_site_fract_y
_atom_site_fract_z
_atom_site_occupancy
Er1 Er 0.000 0.000 0.000 1
Er2 Er 0.000 0.166 0.500 1
Er3 Er 0.000 0.332 0.000 1
Zr1 Zr 0.000 0.500 0.500 1
P1 P 0.243 0.500 0.254 1
P2 P 0.244 0.337 0.745 1

3.
# Er3ZrP4, optimized geometry, DFT PBE-GGA
# **Total magnetic moment**: 0.00 μB/f.u.
# **V**: 20.99 Å³/atom
# **DFT total energy**: -7.04 eV per atom
# **Formation energy from the elements**: -1.5535 eV per atom
data_Er3ZrP4
_space_group_name_H-M_alt 'C m m m'
_space_group_IT_number 65
_space_group_name_Hall '-C 2 2'
_cell_length_a 7.820
_cell_length_b 11.022
_cell_length_c 3.897
_cell_angle_alpha 90.00
_cell_angle_beta 90.00
_cell_angle_gamma 90.00
loop_
_atom_site_label
_atom_site_type_symbol
_atom_site_fract_x
_atom_site_fract_y
_atom_site_fract_z
_atom_site_occupancy
Er1 Er 0.000 0.000 0.000 1
Er2 Er 0.250 0.250 0.500 1
Zr1 Zr 0.000 0.500 0.000 1
P1 P 0.000 0.255 0.000 1
P2 P 0.241 0.500 0.500 1

4.
# ErZr2P, optimized geometry, DFT PBE-GGA
# **Total magnetic moment**: 0.00 μB/f.u.
# **V**: 25.17 Å³/atom
# **DFT total energy**: -7.15 eV per atom
# **Formation energy from the elements**: -0.3812 eV per atom
# **Distance to the lowest polymorph of the same formula**: 1.04 eV/f.u.
data_ErZr2P
_space_group_name_H-M_alt 'R -3 m'
_space_group_IT_number 166
_space_group_name_Hall '-R 3 2"'
_cell_length_a 3.5341
_cell_length_b 3.5341
_cell_length_c 27.9236
_cell_angle_alpha 90.00
_cell_angle_beta 90.00
_cell_angle_gamma 120.00
loop_
_atom_site_label
_atom_site_type_symbol
_atom_site_fract_x
_atom_site_fract_y
_atom_site_fract_z
_atom_site_occupancy
Er1 Er 0.0000 0.0000 0.0000 1
Zr1 Zr 0.0000 0.0000 0.1133 1
P1 P 0.0000 0.0000 0.5000 1

5.
# Er2ZrP3, optimized geometry, DFT PBE-GGA
# **Total magnetic moment**: 0.00 μB/f.u.
# **V**: 20.72 Å³/atom
# **DFT total energy**: -7.16 eV per atom
# **Formation energy from the elements**: -1.5077 eV per atom
data_Er2ZrP3
_space_group_name_H-M_alt 'I 4/m m m'
_space_group_IT_number 139
_space_group_name_Hall '-I 4 2'
_cell_length_a 3.887
_cell_length_b 3.887
_cell_length_c 16.454
_cell_angle_alpha 90.00
_cell_angle_beta 90.00
_cell_angle_gamma 90.00
loop_
_atom_site_label
_atom_site_type_symbol
_atom_site_fract_x
_atom_site_fract_y
_atom_site_fract_z
_atom_site_occupancy
Er1 Er 0.000 0.000 0.167 1
Zr1 Zr 0.000 0.000 0.500 1
P1 P 0.000 0.000 0.000 1
P2 P 0.000 0.000 0.337 1

6.
# ErZr2P, optimized geometry, DFT PBE-GGA
# **Total magnetic moment**: 0.00 μB/f.u.
# **V**: 23.68 Å³/atom
# **DFT total energy**: -7.41 eV per atom
# **Formation energy from the elements**: -0.6401 eV per atom
# **Distance to the lowest polymorph of the same formula**: 0.00 eV/f.u.
data_ErZr2P
_space_group_name_H-M_alt 'R 3 m'
_space_group_IT_number 160
_space_group_name_Hall 'R 3 -2"'
_cell_length_a 3.6293
_cell_length_b 3.6293
_cell_length_c 24.9058
_cell_angle_alpha 90.00
_cell_angle_beta 90.00
_cell_angle_gamma 120.00
loop_
_atom_site_label
_atom_site_type_symbol
_atom_site_fract_x
_atom_site_fract_y
_atom_site_fract_z
_atom_site_occupancy
Er1 Er 0.0000 0.0000 0.0000 1
Zr1 Zr 0.0000 0.0000 0.5592 1
Zr2 Zr 0.0000 0.0000 0.7734 1
P1 P 0.0000 0.0000 0.1667 1